1.
## CsY3Au (GGA-PBE)

Data for crystalline CsY3Au at its relaxed geometry.

The structure in POSCAR format:
```
CsY3Au
1.0
5.540 0.000 0.000
0.000 5.540 0.000
0.000 0.000 5.540
Cs Y Au
1 3 1
direct
0.000 0.000 0.000
0.000 0.000 0.500
0.000 0.500 0.000
0.500 0.000 0.000
0.500 0.500 0.500
```

Computed properties:
Spin magnetization (Bohr magnetons per cell): 0.00
Final energy (eV/cell): -16.953
Formation energy from the elements (meV per atom): 1314
Polymorph energy (0 for the lowest one) (meV/atom): 1221


2.
## Cs2YAu (GGA-PBE)

Data for crystalline Cs2YAu at its relaxed geometry.

The structure in POSCAR format:
```
Cs2YAu
1.0
-6.707 6.707 2.810
6.707 -6.707 2.810
6.707 6.707 -2.810
Cs Y Au
4 2 2
direct
0.375 0.227 0.352
0.773 0.125 0.148
0.875 0.023 0.648
0.977 0.625 0.852
0.250 0.750 0.500
0.500 0.500 0.000
0.000 0.000 0.000
0.750 0.250 0.500
```

Computed properties:
Spin magnetization (Bohr magnetons per cell): 0.00
Final energy (eV/cell): -21.164
Formation energy from the elements (meV per atom): 217
Polymorph energy (0 for the lowest one) (meV/atom): 0


3.
## CsYAu2 (GGA-PBE)

Data for crystalline CsYAu2 at its relaxed geometry.

The structure in POSCAR format:
```
CsYAu2
1.0
0.000 3.853 3.853
3.853 0.000 3.853
3.853 3.853 0.000
Cs Y Au
1 1 2
direct
0.000 0.000 0.000
0.500 0.500 0.500
0.250 0.250 0.250
0.750 0.750 0.750
```

Computed properties:
Spin magnetization (Bohr magnetons per cell): 0.00
Final energy (eV/cell): -14.132
Formation energy from the elements (meV per atom): -65
Polymorph energy (0 for the lowest one) (meV/atom): 456


4.
## CsYAu2 (GGA-PBE)

Data for crystalline CsYAu2 at its relaxed geometry.

The structure in POSCAR format:
```
CsYAu2
1.0
3.790 0.000 0.000
0.000 3.790 0.000
0.000 0.000 8.541
Cs Y Au
1 1 2
direct
0.000 0.000 0.000
0.000 0.000 0.500
0.500 0.500 0.327
0.500 0.500 0.673
```

Computed properties:
Spin magnetization (Bohr magnetons per cell): 0.00
Final energy (eV/cell): -15.957
Formation energy from the elements (meV per atom): -521
Polymorph energy (0 for the lowest one) (meV/atom): 0


5.
## Cs3YAu (GGA-PBE)

Data for crystalline Cs3YAu at its relaxed geometry.

The structure in POSCAR format:
```
Cs3YAu
1.0
6.957 0.000 0.000
0.000 6.957 0.000
0.000 0.000 6.957
Cs Y Au
3 1 1
direct
0.000 0.000 0.500
0.000 0.500 0.000
0.500 0.000 0.000
0.500 0.500 0.500
0.000 0.000 0.000
```

Computed properties:
Spin magnetization (Bohr magnetons per cell): 2.65
Final energy (eV/cell): -10.218
Formation energy from the elements (meV per atom): 417
Polymorph energy (0 for the lowest one) (meV/atom): 0


6.
## CsY3Au (GGA-PBE)

Data for crystalline CsY3Au at its relaxed geometry.

The structure in POSCAR format:
```
CsY3Au
1.0
5.759 0.000 0.000
0.000 5.759 0.000
0.000 0.000 5.759
Cs Y Au
1 3 1
direct
0.000 0.000 0.000
0.000 0.500 0.500
0.500 0.000 0.500
0.500 0.500 0.000
0.500 0.500 0.500
```

Computed properties:
Spin magnetization (Bohr magnetons per cell): 0.00
Final energy (eV/cell): -23.059
Formation energy from the elements (meV per atom): 93
Polymorph energy (0 for the lowest one) (meV/atom): 0


7.
## Cs2YAu (GGA-PBE)

Data for crystalline Cs2YAu at its relaxed geometry.

The structure in POSCAR format:
```
Cs2YAu
1.0
0.000 4.561 4.561
4.561 0.000 4.561
4.561 4.561 0.000
Cs Y Au
2 1 1
direct
0.250 0.250 0.250
0.750 0.750 0.750
0.000 0.000 0.000
0.500 0.500 0.500
```

Computed properties:
Spin magnetization (Bohr magnetons per cell): 1.93
Final energy (eV/cell): -8.881
Formation energy from the elements (meV per atom): 642
Polymorph energy (0 for the lowest one) (meV/atom): 425


8.
## Cs2YZnAu (GGA-PBE)

Data for crystalline Cs2YZnAu at its relaxed geometry.

The structure in POSCAR format:
```
Cs2YZnAu
1.0
7.553 0.000 0.000
0.000 7.553 0.000
0.000 0.000 5.416
Cs Y Zn Au
2 1 1 1
direct
0.000 0.500 0.000
0.500 0.000 0.000
0.000 0.000 0.000
0.000 0.000 0.500
0.500 0.500 0.500
```

Computed properties:
Spin magnetization (Bohr magnetons per cell): 0.00
Final energy (eV/cell): -9.183
Formation energy from the elements (meV per atom): 708


9.
## CsZn2Au (GGA-PBE)

Data for crystalline CsZn2Au at its relaxed geometry.

The structure in POSCAR format:
```
CsZn2Au
1.0
3.975 -2.293 0.000
3.975 2.293 0.000
-2.680 0.000 6.681
Cs Zn Au
1 2 1
direct
0.000 0.000 0.000
0.512 0.512 0.527
0.828 0.828 0.476
0.181 0.181 0.534
```

Computed properties:
Spin magnetization (Bohr magnetons per cell): 0.00
Final energy (eV/cell): -7.478
Formation energy from the elements (meV per atom): -200
Polymorph energy (0 for the lowest one) (meV/atom): 0


10.
## Cs5Zn2Au5 (GGA-PBE)

Data for crystalline Cs5Zn2Au5 at its relaxed geometry.

The structure in POSCAR format:
```
Cs5Zn2Au5
1.0
8.720 -2.474 0.000
8.720 2.474 0.000
-0.002 0.000 11.707
Cs Zn Au
5 2 5
direct
0.000 0.000 0.000
0.124 0.124 0.590
0.292 0.292 0.853
0.708 0.708 0.147
0.876 0.876 0.410
0.483 0.483 0.723
0.517 0.517 0.277
0.072 0.072 0.279
0.380 0.380 0.166
0.500 0.500 0.500
0.620 0.620 0.834
0.928 0.928 0.721
```

Computed properties:
Spin magnetization (Bohr magnetons per cell): 0.00
Final energy (eV/cell): -26.048
Formation energy from the elements (meV per atom): -237


11.
## CsZn2Au2 (GGA-PBE)

Data for crystalline CsZn2Au2 at its relaxed geometry.

The structure in POSCAR format:
```
CsZn2Au2
1.0
8.708 0.000 0.000
0.000 8.708 0.000
0.000 0.000 3.054
Cs Zn Au
2 4 4
direct
0.000 0.000 0.000
0.500 0.500 0.000
0.121 0.379 0.500
0.379 0.879 0.500
0.621 0.121 0.500
0.879 0.621 0.500
0.152 0.652 0.000
0.348 0.152 0.000
0.652 0.848 0.000
0.848 0.348 0.000
```

Computed properties:
Spin magnetization (Bohr magnetons per cell): 0.00
Final energy (eV/cell): -19.583
Formation energy from the elements (meV per atom): 33
Polymorph energy (0 for the lowest one) (meV/atom): 238


12.
## CsZn3Au6 (GGA-PBE)

Data for crystalline CsZn3Au6 at its relaxed geometry.

The structure in POSCAR format:
```
CsZn3Au6
1.0
10.124 0.000 0.000
0.000 6.549 0.000
-2.812 0.000 7.740
Cs Zn Au
2 6 12
direct
0.000 0.000 0.000
0.000 0.500 0.500
0.304 0.193 0.418
0.304 0.307 0.918
0.500 0.000 0.000
0.500 0.500 0.500
0.696 0.693 0.082
0.696 0.807 0.582
0.250 0.025 0.681
0.250 0.475 0.181
0.288 0.703 0.912
0.288 0.797 0.412
0.496 0.235 0.250
0.496 0.265 0.750
0.504 0.735 0.250
0.504 0.765 0.750
0.712 0.203 0.588
0.712 0.297 0.088
0.750 0.525 0.819
0.750 0.975 0.319
```

Computed properties:
Spin magnetization (Bohr magnetons per cell): 0.00
Final energy (eV/cell): -49.885
Formation energy from the elements (meV per atom): -60


13.
## Cs3ZnAu3 (GGA-PBE)

Data for crystalline Cs3ZnAu3 at its relaxed geometry.

The structure in POSCAR format:
```
Cs3ZnAu3
1.0
5.556 -9.595 0.000
5.556 9.595 0.000
0.000 0.000 7.053
Cs Zn Au
6 2 6
direct
0.177 0.823 0.750
0.178 0.355 0.750
0.355 0.178 0.250
0.645 0.822 0.750
0.822 0.645 0.250
0.823 0.177 0.250
0.333 0.667 0.250
0.667 0.333 0.750
0.196 0.804 0.250
0.197 0.394 0.250
0.394 0.197 0.750
0.606 0.803 0.250
0.803 0.606 0.750
0.804 0.196 0.750
```

Computed properties:
Spin magnetization (Bohr magnetons per cell): 0.00
Final energy (eV/cell): -29.269
Formation energy from the elements (meV per atom): -138


14.
## Cs2Zn2Au3 (GGA-PBE)

Data for crystalline Cs2Zn2Au3 at its relaxed geometry.

The structure in POSCAR format:
```
Cs2Zn2Au3
1.0
4.552 0.000 0.000
0.009 6.908 0.000
2.246 0.957 6.903
Cs Zn Au
2 2 3
direct
0.137 0.080 0.227
0.863 0.920 0.773
0.393 0.464 0.713
0.607 0.536 0.287
0.000 0.500 0.500
0.208 0.580 0.085
0.792 0.420 0.915
```

Computed properties:
Spin magnetization (Bohr magnetons per cell): 0.00
Final energy (eV/cell): -15.623
Formation energy from the elements (meV per atom): -219


15.
## CsZn2Au3 (GGA-PBE)

Data for crystalline CsZn2Au3 at its relaxed geometry.

The structure in POSCAR format:
```
CsZn2Au3
1.0
8.307 -2.319 0.000
8.307 2.319 0.000
-3.032 0.000 7.756
Cs Zn Au
2 4 6
direct
0.172 0.172 0.089
0.828 0.828 0.911
0.149 0.149 0.566
0.480 0.480 0.824
0.520 0.520 0.176
0.851 0.851 0.434
0.003 0.003 0.692
0.309 0.309 0.559
0.406 0.406 0.340
0.594 0.594 0.660
0.691 0.691 0.441
0.997 0.997 0.308
```

Computed properties:
Spin magnetization (Bohr magnetons per cell): 0.00
Final energy (eV/cell): -28.532
Formation energy from the elements (meV per atom): -172
Polymorph energy (0 for the lowest one) (meV/atom): 125


16.
## Cs4ZnAu3 (GGA-PBE)

Data for crystalline Cs4ZnAu3 at its relaxed geometry.

The structure in POSCAR format:
```
Cs4ZnAu3
1.0
4.911 0.000 0.000
0.000 5.270 0.000
0.000 0.000 13.346
Cs Zn Au
4 1 3
direct
0.000 0.000 0.000
0.000 0.500 0.477
0.500 0.000 0.697
0.500 0.500 0.210
0.000 0.500 0.807
0.000 0.000 0.281
0.500 0.000 0.410
0.500 0.500 0.888
```

Computed properties:
Spin magnetization (Bohr magnetons per cell): 0.00
Final energy (eV/cell): -16.460
Formation energy from the elements (meV per atom): -242


17.
## CsZnAu4 (GGA-PBE)

Data for crystalline CsZnAu4 at its relaxed geometry.

The structure in POSCAR format:
```
CsZnAu4
1.0
0.000 4.110 4.110
4.110 0.000 4.110
4.110 4.110 0.000
Cs Zn Au
1 1 4
direct
0.000 0.000 0.000
0.750 0.750 0.750
0.376 0.376 0.376
0.376 0.376 0.872
0.376 0.872 0.376
0.872 0.376 0.376
```

Computed properties:
Spin magnetization (Bohr magnetons per cell): 0.00
Final energy (eV/cell): -14.848
Formation energy from the elements (meV per atom): 65
Polymorph energy (0 for the lowest one) (meV/atom): 239


18.
## CsZn3Au3 (GGA-PBE)

Data for crystalline CsZn3Au3 at its relaxed geometry.

The structure in POSCAR format:
```
CsZn3Au3
1.0
7.319 0.000 0.000
0.000 7.319 0.000
0.000 0.000 7.319
Cs Zn Au
2 6 6
direct
0.000 0.000 0.000
0.500 0.500 0.500
0.000 0.250 0.500
0.000 0.750 0.500
0.250 0.500 0.000
0.500 0.000 0.250
0.500 0.000 0.750
0.750 0.500 0.000
0.000 0.500 0.250
0.000 0.500 0.750
0.250 0.000 0.500
0.500 0.250 0.000
0.500 0.750 0.000
0.750 0.000 0.500
```

Computed properties:
Spin magnetization (Bohr magnetons per cell): 0.00
Final energy (eV/cell): -30.540
Formation energy from the elements (meV per atom): -109
Polymorph energy (0 for the lowest one) (meV/atom): 34


19.
## Cs2ZnAu (GGA-PBE)

Data for crystalline Cs2ZnAu at its relaxed geometry.

The structure in POSCAR format:
```
Cs2ZnAu
1.0
4.453 0.000 0.000
0.000 4.453 0.000
0.000 0.000 9.063
Cs Zn Au
2 1 1
direct
0.000 0.000 0.228
0.000 0.000 0.772
0.500 0.500 0.500
0.500 0.500 0.000
```

Computed properties:
Spin magnetization (Bohr magnetons per cell): 0.00
Final energy (eV/cell): -6.438
Formation energy from the elements (meV per atom): -45
Polymorph energy (0 for the lowest one) (meV/atom): 119


20.
## CsZn4Au4 (GGA-PBE)

Data for crystalline CsZn4Au4 at its relaxed geometry.

The structure in POSCAR format:
```
CsZn4Au4
1.0
-4.679 4.679 2.324
4.679 -4.679 2.324
4.679 4.679 -2.324
Cs Zn Au
1 4 4
direct
0.000 0.000 0.000
0.106 0.596 0.702
0.404 0.106 0.509
0.596 0.894 0.491
0.894 0.404 0.298
0.197 0.321 0.518
0.321 0.803 0.124
0.679 0.197 0.876
0.803 0.679 0.482
```

Computed properties:
Spin magnetization (Bohr magnetons per cell): 0.00
Final energy (eV/cell): -21.242
Formation energy from the elements (meV per atom): -243